1.
Material: ZrMn4
Method: DFT, PBEsol
State: relaxed

Geometry as POSCAR:
```
ZrMn4
1.0
-1.894 1.894 4.578
1.894 -1.894 4.578
1.894 1.894 -4.578
Zr Mn
1 4
direct
0.000 0.000 0.000
0.250 0.750 0.500
0.378 0.378 0.000
0.622 0.622 0.000
0.750 0.250 0.500
```

Relative energy among the computed polymorphs ... 0.00 eV per formula unit
Volume ... 13.13 A^3/atom
Space-group type ... No. 139
DOS(E_F) ... 4.970 states/eV/f.u.
Formation energy ... -0.011 eV/atom

=====

2.
Material: ZrMn2
Method: DFT, PBEsol
State: relaxed

Geometry as POSCAR:
```
ZrMn2
1.0
0.000 3.459 3.459
3.459 0.000 3.459
3.459 3.459 0.000
Zr Mn
2 4
direct
0.125 0.125 0.125
0.875 0.875 0.875
0.000 0.500 0.500
0.500 0.000 0.500
0.500 0.500 0.000
0.500 0.500 0.500
```

Volume ... 13.79 A^3/atom
Space-group type ... No. 227
DOS(E_F) ... 3.055 states/eV/f.u.
Formation energy ... -0.173 eV/atom

=====

Please write out number 1 again, unchanged.
Material: ZrMn4
Method: DFT, PBEsol
State: relaxed

Geometry as POSCAR:
```
ZrMn4
1.0
-1.894 1.894 4.578
1.894 -1.894 4.578
1.894 1.894 -4.578
Zr Mn
1 4
direct
0.000 0.000 0.000
0.250 0.750 0.500
0.378 0.378 0.000
0.622 0.622 0.000
0.750 0.250 0.500
```

Relative energy among the computed polymorphs ... 0.00 eV per formula unit
Volume ... 13.13 A^3/atom
Space-group type ... No. 139
DOS(E_F) ... 4.970 states/eV/f.u.
Formation energy ... -0.011 eV/atom